1.
## Tm4InNiRu2 (PBE)

Data for a geometry-optimized Tm4InNiRu2 structure.

CIF file:
```
data_Tm4InNiRu2
_chemical_formula_sum 'Tm12 In3 Ni3 Ru6'
_space_group_name_H-M_alt 'R -3 m'
_space_group_IT_number 166
_space_group_name_Hall '-R 3 2"'
_cell_length_a 4.8685
_cell_length_b 4.8685
_cell_length_c 23.8578
_cell_angle_alpha 90.00
_cell_angle_beta 90.00
_cell_angle_gamma 120.00
loop_
_atom_site_label
_atom_site_fract_x
_atom_site_fract_y
_atom_site_fract_z
_atom_site_occupancy
Tm1 0.0000 0.0000 0.1173 1
Tm2 0.0000 0.0000 0.3694 1
In1 0.0000 0.0000 0.5000 1
Ni1 0.0000 0.0000 0.0000 1
Ru1 0.0000 0.0000 0.2490 1
```

Values from the calculation:
The magnetization is 0.00 μB/cell. The formation energy is -0.421 eV/atom. For the density of states at the Fermi level, the calculation gives 0.624 states/eV per atom.



2.
## Sm4Mg9Pb11 (PBE)

Data for a geometry-optimized Sm4Mg9Pb11 structure.

CIF file:
```
data_Sm4Mg9Pb11
_chemical_formula_sum 'Sm8 Mg18 Pb22'
_space_group_name_H-M_alt 'C m m m'
_space_group_IT_number 65
_space_group_name_Hall '-C 2 2'
_cell_length_a 16.0040
_cell_length_b 23.1586
_cell_length_c 3.5497
_cell_angle_alpha 90.00
_cell_angle_beta 90.00
_cell_angle_gamma 90.00
loop_
_atom_site_label
_atom_site_fract_x
_atom_site_fract_y
_atom_site_fract_z
_atom_site_occupancy
Sm1 0.1663 0.0857 0.0000 1
Mg1 0.0000 0.0000 0.0000 1
Mg2 0.1061 0.4077 0.0000 1
Mg3 0.1089 0.2270 0.0000 1
Pb1 0.0000 0.1280 0.5000 1
Pb2 0.0000 0.3165 0.5000 1
Pb3 0.0000 0.5000 0.5000 1
Pb4 0.2091 0.5000 0.5000 1
Pb5 0.2214 0.3181 0.5000 1
```

Values from the calculation:
The magnetization is 0.00 μB/cell. The formation energy is -0.139 eV/atom. For the density of states at the Fermi level, the calculation gives 0.499 states/eV per atom.



3.
## Pu2In5Ga (PBE)

Data for a geometry-optimized Pu2In5Ga structure.

CIF file:
```
data_Pu2In5Ga
_chemical_formula_sum 'Pu4 In10 Ga2'
_space_group_name_H-M_alt 'P b a m'
_space_group_IT_number 55
_space_group_name_Hall '-P 2 2ab'
_cell_length_a 6.5277
_cell_length_b 13.0440
_cell_length_c 4.6031
_cell_angle_alpha 90.00
_cell_angle_beta 90.00
_cell_angle_gamma 90.00
loop_
_atom_site_label
_atom_site_fract_x
_atom_site_fract_y
_atom_site_fract_z
_atom_site_occupancy
Pu1 0.2306 0.1193 0.0000 1
In1 0.0000 0.5000 0.5000 1
In2 0.0175 0.7517 0.5000 1
In3 0.2360 0.3730 0.0000 1
Ga1 0.0000 0.0000 0.5000 1
```

Values from the calculation:
The magnetization is 23.09 μB/cell. The formation energy is -0.227 eV/atom. For the density of states at the Fermi level, the calculation gives 2.878 states/eV per atom.



4.
## Tm3Al3In2Au (PBE)

Data for a geometry-optimized Tm3Al3In2Au structure.

CIF file:
```
data_Tm3Al3In2Au
_chemical_formula_sum 'Tm3 Al3 In2 Au1'
_space_group_name_H-M_alt 'P -6 2 m'
_space_group_IT_number 189
_space_group_name_Hall 'P -6 -2'
_cell_length_a 7.1697
_cell_length_b 7.1697
_cell_length_c 4.4081
_cell_angle_alpha 90.00
_cell_angle_beta 90.00
_cell_angle_gamma 120.00
loop_
_atom_site_label
_atom_site_fract_x
_atom_site_fract_y
_atom_site_fract_z
_atom_site_occupancy
Tm1 0.0000 0.4106 0.0000 1
Al1 0.0000 0.7669 0.5000 1
In1 0.3333 0.6667 0.5000 1
Au1 0.0000 0.0000 0.0000 1
```

Values from the calculation:
The magnetization is 0.00 μB/cell. The formation energy is -0.525 eV/atom. For the density of states at the Fermi level, the calculation gives 0.373 states/eV per atom.



> Which of these has the lowest density of states at the Fermi level?

Tm3Al3In2Au



> Which value of density of states at the Fermi level does entry 1 give?

0.624 states/eV per atom



> The lowest density of states at the Fermi level belongs to which entry?

Tm3Al3In2Au